First-principles (GGA-PBE) data for a geometry-optimized KMgNp2O8 structure, as listed in Alexandria.

Computed properties:
DOS at the Fermi energy: 6.5 states/eV per cell
ΔE_f (raw): -2518 meV/atom

Cell: 5.0478 5.0457 7.0716 Å, 88.33 88.35 85.11°
With the nearest neighbours (Å) after each atom.
Positions (direct):
K (0.0000, 0.0000, 0.5000)  6 O 2.53
Mg (0.0000, 0.0000, 0.0000)  6 O 2.13-2.37
Np (0.4944, 0.4945, 0.7591)  4 O 1.91-2.03
Np (0.5056, 0.5055, 0.2409)  4 O 1.91-2.03
O (0.2191, 0.7762, 0.2135)  1 Np 1.91, 1 Mg 2.14
O (0.6808, 0.6824, 0.0141)  1 Np 2.03
O (0.7782, 0.2208, 0.2133)  1 Np 1.91, 1 Mg 2.13
O (0.7809, 0.2238, 0.7865)  1 Np 1.91, 1 Mg 2.14
O (0.3192, 0.3176, 0.9859)  1 Np 2.03
O (0.2218, 0.7792, 0.7867)  1 Np 1.91, 1 Mg 2.13
O (0.6592, 0.6615, 0.5332)  1 Np 1.98
O (0.3408, 0.3385, 0.4668)  1 Np 1.98


First-principles (GGA-PBE) data for a geometry-optimized Sc2BiH structure, as listed in Alexandria.

Computed properties:
DOS at the Fermi energy: 5.3 states/eV per cell
Energy relative to the lowest polymorph listed for this composition: 45.2 kJ per mole of atoms

Cell: 6.7627 6.7627 6.7627 Å, 39.89 39.89 39.89°
With the nearest neighbours (Å) after each atom.
Positions (direct):
Sc (0.1027, 0.1027, 0.1027)  1 H 1.92
Sc (0.8973, 0.8973, 0.8973)  1 H 1.92
H (0.0000, 0.0000, 0.0000)  2 Sc 1.92
Bi (0.5000, 0.5000, 0.5000)  6 Sc 2.92


First-principles (GGA-PBE) data for a geometry-optimized YOs2W2 structure, as listed in Alexandria.

Computed properties:
DOS at the Fermi energy: 9.1 states/eV per cell
Energy relative to the lowest polymorph listed for this composition: 21.0 kJ per mole of atoms
Energy of formation: 155 meV per atom

Cell: 7.8002 7.8002 2.8818 Å, 90.00 90.00 90.00°
With the nearest neighbours (Å) after each atom.
Positions (direct):
Y (0.0000, 0.0000, 0.0000)  2 Y 2.88, 4 W 2.98
Y (0.5000, 0.5000, 0.0000)  2 Y 2.88, 4 W 2.98
Os (0.1443, 0.6443, 0.5000)  6 W 2.69-2.71, 2 Os 2.88
Os (0.6443, 0.8557, 0.5000)  6 W 2.69-2.71, 2 Os 2.88
Os (0.8557, 0.3557, 0.5000)  6 W 2.69-2.71, 2 Os 2.88
Os (0.3557, 0.1443, 0.5000)  6 W 2.69-2.71, 2 Os 2.88
W (0.3524, 0.8524, 0.0000)  6 Os 2.69-2.71, 2 W 2.88, 2 Y 2.98
W (0.8524, 0.6476, 0.0000)  6 Os 2.69-2.71, 2 W 2.88, 2 Y 2.98
W (0.6476, 0.1476, 0.0000)  6 Os 2.69-2.71, 2 W 2.88, 2 Y 2.98
W (0.1476, 0.3524, 0.0000)  6 Os 2.69-2.71, 2 W 2.88, 2 Y 2.98


First-principles (GGA-PBE) data for a geometry-optimized TbCdCu structure, as listed in Alexandria.

Computed properties:
DOS at the Fermi energy: 11.1 states/eV per cell
Energy of formation: -300 meV per atom

Cell: 3.8530 7.5855 13.1522 Å, 90.00 90.00 90.00°
With the nearest neighbours (Å) after each atom.
Positions (direct):
Tb (0.0000, 0.2330, 0.9550)  5 Cu 2.96-3.16, 2 Cd 3.25
Tb (0.0000, 0.7670, 0.0450)  5 Cu 2.96-3.16, 2 Cd 3.25
Tb (0.0000, 0.2330, 0.5450)  5 Cu 2.96-3.16, 2 Cd 3.25
Tb (0.0000, 0.7670, 0.4550)  5 Cu 2.96-3.16, 2 Cd 3.25
Tb (0.0000, 0.1510, 0.2500)  5 Cu 2.94-3.03, 2 Cd 3.26
Tb (0.0000, 0.8490, 0.7500)  5 Cu 2.94-3.03, 2 Cd 3.26
Cu (0.5000, 0.0536, 0.0909)  1 Cu 2.53, 1 Cd 2.82
Cu (0.5000, 0.9464, 0.9091)  1 Cu 2.53, 1 Cd 2.82
Cu (0.5000, 0.0536, 0.4091)  1 Cu 2.53, 1 Cd 2.82
Cu (0.5000, 0.9464, 0.5909)  1 Cu 2.53, 1 Cd 2.82
Cu (0.0000, 0.5507, 0.2500)  6 Cd 2.72-2.75, 1 Tb 3.03
Cu (0.0000, 0.4493, 0.7500)  6 Cd 2.72-2.75, 1 Tb 3.03
Cd (0.5000, 0.4303, 0.1179)  3 Cu 2.75-2.88
Cd (0.5000, 0.5697, 0.8821)  3 Cu 2.75-2.88
Cd (0.5000, 0.4303, 0.3821)  3 Cu 2.75-2.88
Cd (0.5000, 0.5697, 0.6179)  3 Cu 2.75-2.88
Cd (0.5000, 0.8041, 0.2500)  4 Cu 2.72-2.82
Cd (0.5000, 0.1959, 0.7500)  4 Cu 2.72-2.82


First-principles (GGA-PBE) data for a geometry-optimized Tl2HgMo structure, as listed in Alexandria.

Computed properties:
DOS at the Fermi energy: 2.3 states/eV per cell
Energy relative to the lowest polymorph listed for this composition: 14.1 kJ per mole of atoms
Energy of formation: 696 meV per atom

Cell: 3.0762 5.5503 5.3099 Å, 90.00 90.00 90.00°
With the nearest neighbours (Å) after each atom.
Positions (direct):
Hg (0.5000, 0.0000, 0.5000)  4 Tl 3.07, 2 Hg 3.08, 4 Mo 3.17
Mo (0.0000, 0.5000, 0.5000)  4 Tl 3.07, 2 Mo 3.08, 4 Hg 3.17
Tl (0.0000, 0.0000, 0.0000)  4 Hg 3.07, 6 Tl 3.08-3.17
Tl (0.5000, 0.5000, 0.0000)  4 Mo 3.07, 6 Tl 3.08-3.17


First-principles (GGA-PBE) data for a geometry-optimized Zn2H2Ru structure, as listed in Alexandria.

Computed properties:
DOS at the Fermi energy: 2.1 states/eV per cell
Energy relative to the lowest polymorph listed for this composition: 5.4 kJ per mole of atoms

Cell: 3.0028 3.0028 7.0083 Å, 77.63 77.63 60.00°
With the nearest neighbours (Å) after each atom.
Positions (direct):
Zn (0.4404, 0.4404, 0.6787)  3 H 2.28, 1 Zn 2.43
Zn (0.5596, 0.5596, 0.3213)  3 H 2.28, 1 Zn 2.43
H (0.7008, 0.7008, 0.8976)  3 Ru 1.87
H (0.2992, 0.2992, 0.1024)  3 Ru 1.87
Ru (0.0000, 0.0000, 0.0000)  6 H 1.87


First-principles (GGA-PBE) data for a geometry-optimized Ba2NbVSn structure, as listed in Alexandria.

Computed properties:
DOS at the Fermi energy: 17.9 states/eV per cell
Energy of formation: 1418 meV per atom

Cell: 6.5631 5.3623 6.5631 Å, 90.00 90.00 90.00°
With the nearest neighbours (Å) after each atom.
Positions (direct):
Nb (0.0000, 0.5000, 0.0000)  2 Sn 2.68
V (0.5000, 0.5000, 0.5000)  8 Ba 4.24, 4 Nb 4.64
Ba (0.0000, 0.0000, 0.5000)  2 Sn 3.28
Ba (0.5000, 0.0000, 0.0000)  2 Sn 3.28
Sn (0.0000, 0.0000, 0.0000)  2 Nb 2.68


First-principles (GGA-PBE) data for a geometry-optimized Re5Ag4 structure, as listed in Alexandria.

Computed properties:
DOS at the Fermi energy: 7.0 states/eV per cell
Energy of formation: 582 meV per atom

Cell: 6.3315 6.3315 6.3315 Å, 95.67 95.67 143.37°
With the nearest neighbours (Å) after each atom.
Positions (direct):
Re (0.0000, 0.0000, 0.0000)  8 Re 2.71, 4 Ag 2.81
Re (0.3465, 0.3465, 0.6929)  4 Re 2.61-2.71, 4 Ag 2.82
Re (0.3465, 0.6535, 0.0000)  4 Re 2.61-2.71, 4 Ag 2.82
Re (0.6535, 0.3465, 0.0000)  4 Re 2.61-2.71, 4 Ag 2.82
Re (0.6535, 0.6535, 0.3071)  4 Re 2.61-2.71, 4 Ag 2.82
Ag (0.0000, 0.3307, 0.3307)  7 Re 2.81-2.95, 5 Ag 2.85-2.88
Ag (0.0000, 0.6693, 0.6693)  7 Re 2.81-2.95, 5 Ag 2.85-2.88
Ag (0.3307, 0.0000, 0.3307)  7 Re 2.81-2.95, 5 Ag 2.85-2.88
Ag (0.6693, 0.0000, 0.6693)  7 Re 2.81-2.95, 5 Ag 2.85-2.88


First-principles (GGA-PBE) data for a geometry-optimized Ac3Ga4Ir2 structure, as listed in Alexandria.

Computed properties:
DOS at the Fermi energy: 6.0 states/eV per cell
Energy relative to the lowest polymorph listed for this composition: 0.0 kJ per mole of atoms
Energy of formation: -661 meV per atom

Cell: 4.3125 6.3593 8.9587 Å, 102.92 90.00 109.82°
With the nearest neighbours (Å) after each atom.
Positions (direct):
Ac (0.6773, 0.3546, 0.6553)  3 Ir 3.26-3.32, 8 Ga 3.32-3.56
Ac (0.0000, 0.0000, 0.0000)  8 Ga 3.29-3.47, 4 Ir 3.30
Ac (0.3227, 0.6454, 0.3447)  3 Ir 3.26-3.32, 8 Ga 3.32-3.56
Ga (0.7251, 0.4502, 0.0628)  2 Ga 2.57, 1 Ir 2.57
Ga (0.2749, 0.5498, 0.9372)  2 Ga 2.57, 1 Ir 2.57
Ga (0.9534, 0.9068, 0.6233)  2 Ir 2.54, 1 Ga 2.70
Ga (0.0466, 0.0932, 0.3767)  2 Ir 2.54, 1 Ga 2.70
Ir (0.6125, 0.2251, 0.2738)  3 Ga 2.54-2.57
Ir (0.3875, 0.7749, 0.7262)  3 Ga 2.54-2.57


First-principles (GGA-PBE) data for a geometry-optimized SnAsSe2 structure, as listed in Alexandria.

Computed properties:
DOS at the Fermi energy: 1.2 states/eV per cell
ΔE_f (raw): -84 meV/atom

Cell: 3.7923 3.7923 8.1301 Å, 76.51 76.51 60.00°
With the nearest neighbours (Å) after each atom.
Positions (direct):
Sn (0.4958, 0.4958, 0.5125)  6 Se 3.04-3.25
As (0.6667, 0.6667, 0.9998)  6 Se 2.72-2.77
Se (0.0725, 0.0725, 0.7826)  3 As 2.77, 3 Sn 3.04
Se (0.2649, 0.2649, 0.2052)  3 As 2.72


First-principles (GGA-PBE) data for a geometry-optimized Li4InPd2 structure, as listed in Alexandria.

Computed properties:
DOS at the Fermi energy: 2.5 states/eV per cell
Energy of formation: -315 meV per atom

Cell: 5.3395 5.4357 5.3395 Å, 120.63 116.23 59.37°
With the nearest neighbours (Å) after each atom.
Positions (direct):
Li (0.5881, 0.6978, 0.9841)  1 Li 2.41, 2 Pd 2.57-2.58
Li (0.4119, 0.3022, 0.0159)  1 Li 2.41, 2 Pd 2.57-2.58
Li (0.9841, 0.3022, 0.5881)  1 Li 2.41, 2 Pd 2.57-2.58
Li (0.0159, 0.6978, 0.4119)  1 Li 2.41, 2 Pd 2.57-2.58
In (0.0000, 0.0000, 0.0000)  4 Li 2.72
Pd (0.4999, 0.7579, 0.5001)  8 Li 2.57-2.83, 2 Pd 2.63-2.80
Pd (0.5001, 0.2421, 0.4999)  8 Li 2.57-2.83, 2 Pd 2.63-2.80


First-principles (GGA-PBE) data for a geometry-optimized PmEu3Rh structure, as listed in Alexandria.

Computed properties:
DOS at the Fermi energy: 3.6 states/eV per cell
Energy of formation: -85 meV per atom

Cell: 5.6219 5.6219 5.6219 Å, 90.00 90.00 90.00°
With the nearest neighbours (Å) after each atom.
Positions (direct):
Eu (0.0000, 0.5000, 0.0000)  2 Rh 2.81
Eu (0.0000, 0.0000, 0.5000)  2 Rh 2.81
Eu (0.5000, 0.0000, 0.0000)  2 Rh 2.81
Rh (0.0000, 0.0000, 0.0000)  6 Eu 2.81
Pm (0.5000, 0.5000, 0.5000)  12 Eu 3.98